VASP calculation (GGA-PBE) on crystalline YHo2Al2Zn3Cd at its relaxed geometry.

The calculation puts the size of the total moment at 0.0 μB/f.u. For the raw total energy, the calculation gives -62.56 eV per cell.

It has space group Amm2 (No. 38), with a = 4.467 Å, b = 12.134 Å, c = 6.982 Å, α = 90.00°, β = 90.00° and γ = 90.00°. The asymmetric unit holds Y at (0.000, 0.000, 0.000), Ho at (0.000, 0.217, 0.351), Al at (0.500, 0.167, 0.068), Zn at (0.500, 0.000, 0.320), Zn at (0.500, 0.124, 0.691) and Cd at (0.000, 0.000, 0.565).

VASP calculation (GGA-PBE) on crystalline NbSiHg at its relaxed geometry.

The calculation puts the size of the total moment at 0.0 μB/f.u. The value obtained for the offset from the most stable computed form is 210 meV per atom.

It has space group F-43m (No. 216), with a = 6.364 Å, b = 6.364 Å, c = 6.364 Å, α = 90.00°, β = 90.00° and γ = 90.00°. The asymmetric unit holds Nb at (0.000, 0.000, 0.000), Si at (0.250, 0.250, 0.250) and Hg at (0.250, 0.250, 0.750).